(1)
Material: K2YTe
Method: DFT, GGA-PBE
State: relaxed

Values from the calculation:
Density of states at the Fermi level, states/eV/cell: 5.52
Formation energy without anion corrections, eV per atom: 0.022

a b c (Å): 5.924 5.924 5.924
angles (deg): 60.00 60.00 60.00
Each line ends with the local moment (μB).
Fractional positions:
K 0.000 0.000 0.000  0.05
K 0.250 0.250 0.250  0.04
Te 0.500 0.500 0.500  -0.02
Y 0.750 0.750 0.750  0.71


(2)
Material: CrGa2AuC
Method: DFT, GGA-PBE
State: relaxed

Values from the calculation:
Energy of formation, meV/atom: 1647
Density of states at the Fermi level, states/eV/cell: 1.55

a b c (Å): 4.799 5.223 4.799
angles (deg): 90.00 90.00 90.00
Each line ends with the local moment (μB).
Fractional positions:
Cr 0.000 0.500 0.000  4.06
C 0.500 0.500 0.500  -0.84
Au 0.000 0.000 0.000  0.06
Ga 0.000 0.000 0.500  -0.01
Ga 0.500 0.000 0.000  -0.02


Number 1 is which compound?
K2YTe


Which value of density of states at the Fermi level does entry 1 give?
5.52 states/eV/cell


Which of these has the highest density of states at the Fermi level?
K2YTe